Record 1
The following is a PBE calculation of an optimized crystal structure of ScP4Rh6, from Alexandria.

abc: 7.0005 7.0005 3.6943
angles: 90.00 90.00 120.00
Closest atoms and distances in Å follow each position.
Fractional coordinates of all 11 atoms:
1 Sc 0.0000 0.0000 0.0000  6 P 2.90, 6 Rh 3.00
2 P 0.1736 0.8057 0.5000  4 Rh 2.25-2.35
3 P 0.1943 0.3679 0.5000  4 Rh 2.25-2.35
4 P 0.6321 0.8264 0.5000  4 Rh 2.25-2.35
5 P 0.6667 0.3333 0.0000  9 Rh 2.44-2.50
6 Rh 0.0665 0.5666 0.0000  3 P 2.35-2.44
7 Rh 0.3885 0.1756 0.5000  4 P 2.25-2.50
8 Rh 0.4334 0.4999 0.0000  3 P 2.35-2.44
9 Rh 0.5001 0.9335 0.0000  3 P 2.35-2.44
10 Rh 0.7871 0.6115 0.5000  4 P 2.25-2.50
11 Rh 0.8244 0.2129 0.5000  4 P 2.25-2.50

## Properties
E_form (meV/atom): -867
E_tot (eV for the cell shown): -81.6

***

Record 2
The following is a PBE calculation of an optimized crystal structure of ScPRh2, from Alexandria.

abc: 4.0091 4.0091 3.6585
angles: 90.00 90.00 90.00
Closest atoms and distances in Å follow each position.
Fractional coordinates of all 4 atoms:
1 Sc 0.0000 0.0000 0.0000  8 Rh 2.71, 4 P 2.83
2 P 0.5000 0.5000 0.0000  8 Rh 2.71, 4 Sc 2.83
3 Rh 0.0000 0.5000 0.5000  4 Sc 2.71, 4 P 2.71, 4 Rh 2.83
4 Rh 0.5000 0.0000 0.5000  4 Sc 2.71, 4 P 2.71, 4 Rh 2.83

## Properties
E_form (meV/atom): -769
E_tot (eV for the cell shown): -29.5